Sm2Tm3Ga2: optimized geometry, PBE-GGA.

Calculated values
Spin magnetization in μB/f.u.: 0.0
Electronic total energy in eV for the cell shown: -62.23
Energy of formation in eV/atom: -0.32
Calculated density in Mg/m³: 8.08

Cell and atoms, written as CIF:
```
data_Sm2Tm3Ga2
_chemical_formula_sum 'Sm4 Tm6 Ga4'
_cell_length_a 12.0480
_cell_length_b 4.1510
_cell_length_c 8.4831
_cell_angle_alpha 90.00
_cell_angle_beta 113.42
_cell_angle_gamma 90.00
_symmetry_space_group_name_H-M 'C 1 2/m 1'
_symmetry_Int_Tables_number 12
_symmetry_space_group_name_Hall '-C 2y'
loop_
_atom_site_label
_atom_site_type_symbol
_atom_site_fract_x
_atom_site_fract_y
_atom_site_fract_z
Sm1 Sm 0.1479 0.0000 0.3060
Tm1 Tm 0.0000 0.5000 0.5000
Tm2 Tm 0.1217 0.5000 0.9390
Ga1 Ga 0.1697 0.0000 0.7134
```


Sm3TmGa2: optimized geometry, PBE-GGA.

Calculated values
Distance to the lowest polymorph of the same formula in eV per formula unit: 0.47
Spin magnetization in μB/f.u.: 0.0
Electronic total energy in eV for the cell shown: -106.65
Energy of formation in eV/atom: -0.33
Calculated density in Mg/m³: 7.65

Cell and atoms, written as CIF:
```
data_Sm3TmGa2
_chemical_formula_sum 'Sm12 Tm4 Ga8'
_cell_length_a 17.2595
_cell_length_b 4.5226
_cell_length_c 9.2384
_cell_angle_alpha 90.00
_cell_angle_beta 113.93
_cell_angle_gamma 90.00
_symmetry_space_group_name_H-M 'C 1 2/m 1'
_symmetry_Int_Tables_number 12
_symmetry_space_group_name_Hall '-C 2y'
loop_
_atom_site_label
_atom_site_type_symbol
_atom_site_fract_x
_atom_site_fract_y
_atom_site_fract_z
Sm1 Sm 0.0426 0.0000 0.1892
Sm2 Sm 0.1514 0.5000 0.9787
Sm3 Sm 0.1794 0.5000 0.4281
Tm1 Tm 0.1176 0.0000 0.6400
Ga1 Ga 0.0063 0.5000 0.6428
Ga2 Ga 0.2336 0.0000 0.2163
```


Sm8TmGa6: optimized geometry, PBE-GGA.

Calculated values
Spin magnetization in μB/f.u.: 0.0
Electronic total energy in eV for the cell shown: -197.35
Energy of formation in eV/atom: -0.36
Calculated density in Mg/m³: 7.15

Cell and atoms, written as CIF:
```
data_Sm8TmGa6
_chemical_formula_sum 'Sm24 Tm3 Ga18'
_cell_length_a 8.7558
_cell_length_b 8.7558
_cell_length_c 18.7882
_cell_angle_alpha 90.00
_cell_angle_beta 90.00
_cell_angle_gamma 120.00
_symmetry_space_group_name_H-M 'R -3'
_symmetry_Int_Tables_number 148
_symmetry_space_group_name_Hall '-R 3'
loop_
_atom_site_label
_atom_site_type_symbol
_atom_site_fract_x
_atom_site_fract_y
_atom_site_fract_z
Sm1 Sm 0.0000 0.0000 0.1659
Sm2 Sm 0.0000 0.3325 0.3875
Tm1 Tm 0.0000 0.0000 0.5000
Ga1 Ga 0.9996 0.3276 0.5564
```